DFT (PBE with a Hubbard U) results for crystalline LiV2PbO at its relaxed geometry.

abc: 4.6035 4.7039 4.6035
angles: 90.00 90.00 90.00
Closest atoms and distances in Å follow each position.
Element x y z (fractional)
Pb (0.0000, 0.5000, 0.0000)  2 Li 2.35
V (0.0000, 0.0000, 0.5000)  2 Li 2.30
V (0.5000, 0.0000, 0.0000)  2 Li 2.30
Li (0.0000, 0.0000, 0.0000)  4 V 2.30, 2 Pb 2.35
O (0.5000, 0.5000, 0.5000)  4 Pb 3.26, 8 V 3.29

The value obtained for the calculated total energy is -3.850 eV per atom. As for the symmetry: P4/mmm (123).